Entry 1:
First-principles (PBE-GGA) data for an optimized crystal structure of Hf4GePd2, as listed in the Alexandria database.

Cell: 7.4580 7.4580 7.4580 Å, 141.50 141.50 55.58°
Closest atoms and distances in Å follow each position.
Element x y z (fractional)
Hf (0.0000, 0.5000, 0.5000)  2 Ge 2.46
Hf (0.1966, 0.1966, 0.0000)  1 Pd 2.52, 1 Ge 2.59
Hf (0.5000, 0.0000, 0.5000)  2 Ge 2.46
Hf (0.8034, 0.8034, 0.0000)  1 Pd 2.52, 1 Ge 2.59
Ge (0.0000, 0.0000, 0.0000)  6 Hf 2.46-2.59
Pd (0.3879, 0.3879, 0.0000)  1 Hf 2.52
Pd (0.6121, 0.6121, 0.0000)  1 Hf 2.52

Calculated values
The calculated volume is 159.53 Å³/f.u. The calculation puts the formation enthalpy at 0 K at 0.089 eV per atom.



Entry 2:
First-principles (PBE-GGA) data for an optimized crystal structure of HfGe3Pd, as listed in the Alexandria database.

Cell: 5.1033 5.1033 5.1033 Å, 90.00 90.00 90.00°
Closest atoms and distances in Å follow each position.
Element x y z (fractional)
Hf (0.0000, 0.0000, 0.0000)  6 Ge 2.55
Ge (0.0000, 0.0000, 0.5000)  2 Hf 2.55
Ge (0.0000, 0.5000, 0.0000)  2 Hf 2.55
Ge (0.5000, 0.0000, 0.0000)  2 Hf 2.55
Pd (0.5000, 0.5000, 0.5000)  12 Ge 3.61

Calculated values
The calculated volume is 132.91 Å³/f.u. The calculation puts the formation enthalpy at 0 K at 0.714 eV per atom.



Entry 3:
First-principles (PBE-GGA) data for an optimized crystal structure of HfGePd6, as listed in the Alexandria database.

Cell: 4.7495 4.7495 7.2295 Å, 108.23 108.23 71.20°
Closest atoms and distances in Å follow each position.
Element x y z (fractional)
Hf (0.0000, 0.0000, 0.0000)  10 Pd 2.73-2.98
Ge (0.5000, 0.5000, 0.5000)  6 Pd 2.49
Pd (0.0611, 0.5744, 0.2055)  1 Ge 2.49, 2 Pd 2.69-2.74, 2 Hf 2.73-2.76
Pd (0.1612, 0.1612, 0.4462)  1 Ge 2.49
Pd (0.4256, 0.9389, 0.7945)  1 Ge 2.49, 2 Pd 2.69-2.74, 2 Hf 2.73-2.76
Pd (0.5744, 0.0611, 0.2055)  1 Ge 2.49, 2 Pd 2.69-2.74, 2 Hf 2.73-2.76
Pd (0.8388, 0.8388, 0.5538)  1 Ge 2.49
Pd (0.9389, 0.4256, 0.7945)  1 Ge 2.49, 2 Pd 2.69-2.74, 2 Hf 2.73-2.76

Calculated values
The calculated volume is 142.49 Å³/f.u. The calculation puts the formation enthalpy at 0 K at -0.353 eV per atom. The calculation puts the excess energy over the best structure of this formula in the dataset at 256.3 meV per atom.



Entry 4:
First-principles (PBE-GGA) data for an optimized crystal structure of HfGePd3, as listed in the Alexandria database.

Cell: 4.5914 4.5914 4.5914 Å, 90.00 90.00 90.00°
Closest atoms and distances in Å follow each position.
Element x y z (fractional)
Hf (0.0000, 0.0000, 0.0000)  12 Pd 3.25
Ge (0.5000, 0.5000, 0.5000)  6 Pd 2.30
Pd (0.0000, 0.5000, 0.5000)  2 Ge 2.30
Pd (0.5000, 0.0000, 0.5000)  2 Ge 2.30
Pd (0.5000, 0.5000, 0.0000)  2 Ge 2.30

Calculated values
The calculated volume is 96.79 Å³/f.u. The calculation puts the formation enthalpy at 0 K at 0.054 eV per atom. The calculation puts the excess energy over the best structure of this formula in the dataset at 643.6 meV per atom.



Entry 5:
First-principles (PBE-GGA) data for an optimized crystal structure of HfGePd2, as listed in the Alexandria database.

Cell: 4.0192 4.0192 4.1295 Å, 90.00 90.00 90.00°
Closest atoms and distances in Å follow each position.
Element x y z (fractional)
Hf (0.0000, 0.0000, 0.0000)  4 Ge 2.84, 8 Pd 2.88
Ge (0.5000, 0.5000, 0.0000)  4 Hf 2.84, 8 Pd 2.88
Pd (0.0000, 0.5000, 0.5000)  4 Pd 2.84, 4 Ge 2.88, 4 Hf 2.88
Pd (0.5000, 0.0000, 0.5000)  4 Pd 2.84, 4 Ge 2.88, 4 Hf 2.88

Calculated values
The calculated volume is 66.71 Å³/f.u. The calculation puts the formation enthalpy at 0 K at -0.575 eV per atom.



Entry 6:
First-principles (PBE-GGA) data for an optimized crystal structure of HfGe2Pd, as listed in the Alexandria database.

Cell: 4.2472 4.2472 3.7598 Å, 90.00 90.00 90.00°
Closest atoms and distances in Å follow each position.
Element x y z (fractional)
Hf (0.0000, 0.0000, 0.0000)  8 Ge 2.84, 4 Pd 3.00
Ge (0.0000, 0.5000, 0.5000)  4 Hf 2.84, 4 Pd 2.84, 4 Ge 3.00
Ge (0.5000, 0.0000, 0.5000)  4 Hf 2.84, 4 Pd 2.84, 4 Ge 3.00
Pd (0.5000, 0.5000, 0.0000)  8 Ge 2.84, 4 Hf 3.00

Calculated values
The calculated volume is 67.82 Å³/f.u. The calculation puts the formation enthalpy at 0 K at -0.467 eV per atom.



Entry 7:
First-principles (PBE-GGA) data for an optimized crystal structure of HfGePd2, as listed in the Alexandria database.

Cell: 9.5504 9.5504 9.5504 Å, 156.04 156.04 34.14°
Closest atoms and distances in Å follow each position.
Element x y z (fractional)
Hf (0.0000, 0.0000, 0.0000)  4 Pd 2.70, 4 Ge 2.80
Hf (0.7500, 0.2500, 0.5000)  4 Pd 2.70, 4 Ge 2.80
Ge (0.2500, 0.7500, 0.5000)  4 Pd 2.66, 4 Hf 2.80
Ge (0.5000, 0.5000, 0.0000)  4 Pd 2.66, 4 Hf 2.80
Pd (0.1369, 0.6250, 0.0119)  2 Ge 2.66, 2 Hf 2.70, 4 Pd 2.74-2.87
Pd (0.3750, 0.3869, 0.5119)  2 Ge 2.66, 2 Hf 2.70, 4 Pd 2.74-2.87
Pd (0.6131, 0.1250, 0.9881)  2 Ge 2.66, 2 Hf 2.70, 4 Pd 2.74-2.87
Pd (0.8750, 0.8631, 0.4881)  2 Ge 2.66, 2 Hf 2.70, 4 Pd 2.74-2.87

Calculated values
The calculated volume is 71.73 Å³/f.u. The calculation puts the formation enthalpy at 0 K at -0.415 eV per atom.



Entry 8:
First-principles (PBE-GGA) data for an optimized crystal structure of HfGePd4, as listed in the Alexandria database.

Cell: 3.4184 3.4184 8.4699 Å, 93.16 93.16 88.72°
Closest atoms and distances in Å follow each position.
Element x y z (fractional)
Hf (0.0000, 0.0000, 0.0000)  10 Pd 2.77-2.89
Ge (0.5000, 0.5000, 0.5000)  6 Pd 2.50-2.75
Pd (0.0456, 0.0456, 0.3424)  3 Ge 2.50-2.75, 1 Pd 2.74
Pd (0.4778, 0.4778, 0.8335)  4 Hf 2.77-2.82, 5 Pd 2.81-2.86, 1 Ge 2.83
Pd (0.5222, 0.5222, 0.1665)  4 Hf 2.77-2.82, 5 Pd 2.81-2.86, 1 Ge 2.83
Pd (0.9544, 0.9544, 0.6576)  3 Ge 2.50-2.75, 1 Pd 2.74

Calculated values
The calculated volume is 98.66 Å³/f.u. The calculation puts the formation enthalpy at 0 K at -0.568 eV per atom.